A geometry-optimized Pr3Mn5N12 structure. Source: the Alexandria database, functional GGA-PBE.

The structure belongs to space group Ia-3d (No. 230); the cell edges are 12.4686, 12.4686 and 12.4686 Å and the angles 90.00°, 90.00° and 90.00°. Symmetry generates all atoms from Pr at (0.0000, 0.2500, 0.1250), Mn at (0.0000, 0.0000, 0.0000), Mn at (0.0000, 0.2500, 0.3750) and N at (0.0393, 0.0414, 0.6489).

For the energy relative to the elements, uncorrected, the calculation gives -416 meV/atom.

=====

A geometry-optimized Na2InSbH structure. Source: the Alexandria database, functional GGA-PBE.

The structure belongs to space group P4/mmm (No. 123); the cell edges are 4.5640, 4.5640 and 5.0885 Å and the angles 90.00°, 90.00° and 90.00°. Symmetry generates all atoms from Na at (0.0000, 0.5000, 0.0000), In at (0.0000, 0.0000, 0.5000), Sb at (0.5000, 0.5000, 0.5000) and H at (0.0000, 0.0000, 0.0000).

The energy above the lowest structure with this stoichiometry comes out at 0.00 eV/f.u.

=====

A geometry-optimized PmGaCu5 structure. Source: the Alexandria database, functional GGA-PBE.

The structure belongs to space group Pnma (No. 62); the cell edges are 8.1412, 5.0883 and 10.2561 Å and the angles 90.00°, 90.00° and 90.00°. Symmetry generates all atoms from Pm at (0.2399, 0.2500, 0.0592), Ga at (0.1463, 0.7500, 0.8565), Cu at (0.0655, 0.0047, 0.3070), Cu at (0.0676, 0.7500, 0.0941), Cu at (0.0917, 0.2500, 0.5157) and Cu at (0.1808, 0.2500, 0.7536).

=====

A geometry-optimized RbZnInF6 structure. Source: the Alexandria database, functional GGA-PBE.

The structure belongs to space group Imma (No. 74); the cell edges are 7.4837, 7.8752 and 10.9278 Å and the angles 90.00°, 90.00° and 90.00°. Symmetry generates all atoms from Rb at (0.0000, 0.2500, 0.0773), Zn at (0.2500, 0.2500, 0.7500), In at (0.0000, 0.0000, 0.5000), F at (0.0000, 0.2500, 0.4224), F at (0.0000, 0.2500, 0.8100) and F at (0.2087, 0.0593, 0.6194).

For the energy relative to the elements, uncorrected, the calculation gives -2545 meV/atom.

=====

A geometry-optimized Au2I5 structure. Source: the Alexandria database, functional GGA-PBE.

The structure belongs to space group C2/c (No. 15); the cell edges are 25.0039, 6.3844 and 6.9036 Å and the angles 90.00°, 92.19° and 90.00°. Symmetry generates all atoms from Au at (0.1468, 0.2482, 0.1519), I at (0.0000, 0.4924, 0.2500), I at (0.0973, 0.0843, 0.4654) and I at (0.1969, 0.4140, 0.8399).

For the energy relative to the elements, uncorrected, the calculation gives 48 meV/atom.

=====

A geometry-optimized KBiTe3As structure. Source: the Alexandria database, functional GGA-PBE.

The structure belongs to space group P2_1/m (No. 11); the cell edges are 9.2616, 4.6445 and 10.8164 Å and the angles 90.00°, 92.07° and 90.00°. Symmetry generates all atoms from K at (0.1504, 0.2500, 0.2845), Bi at (0.3687, 0.7500, 0.8696), Te at (0.1294, 0.2500, 0.8707), Te at (0.2786, 0.7500, 0.5798), Te at (0.4026, 0.7500, 0.1545) and As at (0.1305, 0.2500, 0.6226).

For the energy relative to the elements, uncorrected, the calculation gives -325 meV/atom.

=====

A geometry-optimized MoIr2Cl structure. Source: the Alexandria database, functional GGA-PBE.

The structure belongs to space group Pmmm (No. 47); the cell edges are 2.7990, 4.6071 and 4.7583 Å and the angles 90.00°, 90.00° and 90.00°. Symmetry generates all atoms from Mo at (0.0000, 0.0000, 0.0000), Ir at (0.0000, 0.5000, 0.5000), Ir at (0.5000, 0.0000, 0.5000) and Cl at (0.5000, 0.5000, 0.0000).

The energy above the lowest structure with this stoichiometry comes out at 1.92 eV/f.u. For the energy relative to the elements, uncorrected, the calculation gives 686 meV/atom.

=====

A geometry-optimized LiTmLuTl structure. Source: the Alexandria database, functional GGA-PBE.

The structure belongs to space group F-43m (No. 216); the cell edges are 7.3414, 7.3414 and 7.3414 Å and the angles 90.00°, 90.00° and 90.00°. Symmetry generates all atoms from Li at (0.0000, 0.0000, 0.0000), Tm at (0.2500, 0.2500, 0.2500), Lu at (0.2500, 0.2500, 0.7500) and Tl at (0.0000, 0.0000, 0.5000).

=====

A geometry-optimized Cs2RbZnHg structure. Source: the Alexandria database, functional GGA-PBE.

The structure belongs to space group P4/mmm (No. 123); the cell edges are 7.3895, 7.3895 and 5.7361 Å and the angles 90.00°, 90.00° and 90.00°. Symmetry generates all atoms from Cs at (0.0000, 0.5000, 0.0000), Rb at (0.0000, 0.0000, 0.5000), Zn at (0.5000, 0.5000, 0.0000) and Hg at (0.5000, 0.5000, 0.5000).

The energy above the lowest structure with this stoichiometry comes out at 0.00 eV/f.u.

=====

A geometry-optimized K4LaZn structure. Source: the Alexandria database, functional GGA-PBE.

The structure belongs to space group F-43m (No. 216); the cell edges are 10.8853, 10.8853 and 10.8853 Å and the angles 90.00°, 90.00° and 90.00°. Symmetry generates all atoms from K at (0.1253, 0.1253, 0.1253), La at (0.2500, 0.2500, 0.7500) and Zn at (0.0000, 0.0000, 0.5000).

=====

A geometry-optimized K4AsAu structure. Source: the Alexandria database, functional GGA-PBE.

The structure belongs to space group F-43m (No. 216); the cell edges are 9.2778, 9.2778 and 9.2778 Å and the angles 90.00°, 90.00° and 90.00°. Symmetry generates all atoms from K at (0.1254, 0.1254, 0.1254), As at (0.2500, 0.2500, 0.7500) and Au at (0.0000, 0.0000, 0.5000).

=====

A geometry-optimized LiY2Mo structure. Source: the Alexandria database, functional GGA-PBE.

The structure belongs to space group P4mm (No. 99); the cell edges are 3.4797, 3.4797 and 7.6371 Å and the angles 90.00°, 90.00° and 90.00°. Symmetry generates all atoms from Li at (0.0000, 0.0000, 0.0000), Y at (0.0000, 0.0000, 0.3935), Y at (0.5000, 0.5000, 0.7621) and Mo at (0.5000, 0.5000, 0.1534).

The energy above the lowest structure with this stoichiometry comes out at 0.91 eV/f.u.

=====

A geometry-optimized TlAgTe2 structure. Source: the Alexandria database, functional GGA-PBE.

The structure belongs to space group P4/nmm (No. 129, origin choice 2); the cell edges are 4.4033, 4.4033 and 12.7235 Å and the angles 90.00°, 90.00° and 90.00°. Symmetry generates all atoms from Tl at (0.2500, 0.2500, 0.2382), Ag at (0.2500, 0.7500, 0.5000), Te at (0.2500, 0.2500, 0.6486) and Te at (0.2500, 0.7500, 0.0000).

For the energy relative to the elements, uncorrected, the calculation gives -158 meV/atom.

=====

A geometry-optimized Y8Te2Ru3 structure. Source: the Alexandria database, functional GGA-PBE.

The structure belongs to space group P2/m (No. 10); the cell edges are 9.0039, 4.8737 and 9.0049 Å and the angles 90.00°, 114.07° and 90.00°. Symmetry generates all atoms from Y at (0.1055, 0.0000, 0.3943), Y at (0.1477, 0.5000, 0.8634), Y at (0.3626, 0.5000, 0.6479), Y at (0.3899, 0.0000, 0.1102), Te at (0.2422, 0.5000, 0.2586), Ru at (0.2516, 0.0000, 0.7519) and Ru at (0.5000, 0.5000, 0.0000).

For the energy relative to the elements, uncorrected, the calculation gives -542 meV/atom.

=====

A geometry-optimized Ti3HPd structure. Source: the Alexandria database, functional GGA-PBE.

The structure belongs to space group Amm2 (No. 38); the cell edges are 8.9126, 3.0112 and 10.2385 Å and the angles 90.00°, 90.00° and 90.00°. Symmetry generates all atoms from Ti at (0.0000, 0.0000, 0.0000), Ti at (0.2136, 0.0000, 0.6953), Ti at (0.2852, 0.0000, 0.4354), Ti at (0.5000, 0.0000, 0.1321), H at (0.2186, 0.0000, 0.0547), Pd at (0.0000, 0.0000, 0.2880) and Pd at (0.5000, 0.0000, 0.8437).

The energy above the lowest structure with this stoichiometry comes out at 0.08 eV/f.u.

=====

A geometry-optimized ScNbTcMo structure. Source: the Alexandria database, functional GGA-PBE.

The structure belongs to space group F-43m (No. 216); the cell edges are 6.4705, 6.4705 and 6.4705 Å and the angles 90.00°, 90.00° and 90.00°. Symmetry generates all atoms from Sc at (0.0000, 0.0000, 0.0000), Nb at (0.0000, 0.0000, 0.5000), Tc at (0.2500, 0.2500, 0.2500) and Mo at (0.2500, 0.2500, 0.7500).

=====

A geometry-optimized RbNbSnPd2 structure. Source: the Alexandria database, functional GGA-PBE.

The structure belongs to space group P4/mmm (No. 123); the cell edges are 5.0755, 5.0755 and 5.4833 Å and the angles 90.00°, 90.00° and 90.00°. Symmetry generates all atoms from Rb at (0.0000, 0.0000, 0.0000), Nb at (0.5000, 0.5000, 0.5000), Sn at (0.5000, 0.5000, 0.0000) and Pd at (0.0000, 0.5000, 0.5000).

=====

A geometry-optimized CsMg3Ga structure. Source: the Alexandria database, functional GGA-PBE.

The structure belongs to space group Pm-3m (No. 221); the cell edges are 5.5529, 5.5529 and 5.5529 Å and the angles 90.00°, 90.00° and 90.00°. Symmetry generates all atoms from Cs at (0.0000, 0.0000, 0.0000), Mg at (0.0000, 0.5000, 0.5000) and Ga at (0.5000, 0.5000, 0.5000).

The energy above the lowest structure with this stoichiometry comes out at 0.00 eV/f.u.

=====

A geometry-optimized Fe2Ni2W structure. Source: the Alexandria database, functional GGA-PBE.

The structure belongs to space group C2/m (No. 12); the cell edges are 8.0817, 3.6179 and 5.7407 Å and the angles 90.00°, 134.10° and 90.00°. Symmetry generates all atoms from Fe at (0.0949, 0.0000, 0.2905), Ni at (0.1975, 0.5000, 0.0971) and W at (0.0000, 0.5000, 0.5000).

The energy above the lowest structure with this stoichiometry comes out at 0.00 eV/f.u.

=====

A geometry-optimized BaCd3Fe structure. Source: the Alexandria database, functional GGA-PBE.

The structure belongs to space group Pm-3m (No. 221); the cell edges are 6.5845, 6.5845 and 6.5845 Å and the angles 90.00°, 90.00° and 90.00°. Symmetry generates all atoms from Ba at (0.0000, 0.0000, 0.0000), Cd at (0.0000, 0.0000, 0.5000) and Fe at (0.5000, 0.5000, 0.5000).

The energy above the lowest structure with this stoichiometry comes out at 6.15 eV/f.u.

=====

VASP energy, record by record: -8.420 -2.770 -4.273 -4.345 -1.996 -3.501 -6.914 -3.479 -0.800 -1.180 -1.791 -5.962 -3.034 -7.144 -6.767 -9.459 -4.580 -1.489 -8.270 -1.331 eV per atom